No. 1
Density functional theory data (GGA-PBE) for CaRhBr2 after structural relaxation.

POSCAR file:
```
CaRhBr2
1.0
2.0525 1.1850 8.2972
-2.0525 1.1850 8.2972
0.0000 -2.3700 8.2972
Ca Rh Br
1 1 2
Cartesian
0.0000 0.0000 0.0000
0.0000 0.0000 12.4458
0.0000 0.0000 2.7966
0.0000 0.0000 22.0950
```

Summary:
formation energy without anion corrections = -0.267 eV/atom
energy relative to the lowest polymorph listed for this composition = 551 meV per atom
energy = -3.44 eV/atom
magnetization = 1.69 μB/cell
space group = R-3m (166)

***

No. 2
Density functional theory data (GGA-PBE) for Ba2NiAg after structural relaxation.

POSCAR file:
```
Ba2NiAg
1.0
4.7005 0.0000 0.0000
0.0000 4.7005 0.0000
0.0000 0.0000 6.6123
Ba Ni Ag
2 1 1
Cartesian
0.0000 0.0000 0.0000
2.3503 2.3503 3.2884
0.0000 0.0000 3.3701
2.3503 2.3503 6.5807
```

Summary:
energy relative to the lowest polymorph listed for this composition = 150 meV per atom
energy = -3.02 eV/atom
magnetization = 0.00 μB/cell
space group = P4mm (99)

***

No. 3
Density functional theory data (GGA-PBE) for Nd4SmY3 after structural relaxation.

POSCAR file:
```
Nd4SmY3
1.0
11.6833 0.0000 0.0000
0.0000 7.3768 0.0000
0.0000 0.0000 6.3676
Nd Sm Y
8 2 6
Cartesian
0.0000 0.9373 0.0000
0.0000 6.4403 3.1496
2.8994 6.4515 5.2764
2.9422 0.9253 2.0926
5.8417 0.9365 6.3334
5.8417 6.4395 3.1838
8.7411 0.9253 2.0926
8.7839 6.4515 5.2764
0.0000 2.7642 3.1519
5.8417 4.6126 6.3357
0.0000 4.5881 6.3302
2.9233 2.7836 5.2812
2.9183 4.5932 2.0974
5.8417 2.7887 3.1464
8.7600 2.7836 5.2812
8.7650 4.5932 2.0974
```

Summary:
energy relative to the lowest polymorph listed for this composition = 0 meV per atom
energy = -5.37 eV/atom
magnetization = 0.00 μB/cell
space group = Pmn2_1 (31)

***

Repeat the third record exactly.
Density functional theory data (GGA-PBE) for Nd4SmY3 after structural relaxation.

POSCAR file:
```
Nd4SmY3
1.0
11.6833 0.0000 0.0000
0.0000 7.3768 0.0000
0.0000 0.0000 6.3676
Nd Sm Y
8 2 6
Cartesian
0.0000 0.9373 0.0000
0.0000 6.4403 3.1496
2.8994 6.4515 5.2764
2.9422 0.9253 2.0926
5.8417 0.9365 6.3334
5.8417 6.4395 3.1838
8.7411 0.9253 2.0926
8.7839 6.4515 5.2764
0.0000 2.7642 3.1519
5.8417 4.6126 6.3357
0.0000 4.5881 6.3302
2.9233 2.7836 5.2812
2.9183 4.5932 2.0974
5.8417 2.7887 3.1464
8.7600 2.7836 5.2812
8.7650 4.5932 2.0974
```

Summary:
energy relative to the lowest polymorph listed for this composition = 0 meV per atom
energy = -5.37 eV/atom
magnetization = 0.00 μB/cell
space group = Pmn2_1 (31)